Mg2TlAs, PBEsol geometry, DFT meta-GGA SCAN; ΔE to the lowest computed polymorph = 94.9 meV per atom; total DFT energy (no corrections) = -25.831 eV per atom; energy of formation from the pure elements = -0.2066 eV per atom; space group = P4/mmm (123); magnetization = 0.0 μB per formula unit
1.0
3.9268 0.0000 0.0000
0.0000 4.6572 0.0000
0.0000 0.0000 4.6603
As Mg Tl
1 2 1
Direct
0.5000 0.0000 0.5000
0.0000 0.5000 0.5000
0.0000 0.0000 0.0000
0.5000 0.5000 0.0000

---

MgAsW2, PBEsol geometry, DFT meta-GGA SCAN; ΔE to the lowest computed polymorph = 220.6 meV per atom; total DFT energy (no corrections) = -40.718 eV per atom; energy of formation from the pure elements = 0.4172 eV per atom; space group = Immm (71); magnetization = 0.0 μB per formula unit
1.0
-1.7386 -2.2810 -1.3004
3.6487 -1.4501 -2.3346
0.1088 -0.8572 5.1713
Mg As W
1 1 2
Direct
0.5000 0.0000 0.0000
0.0000 0.5000 0.0000
0.2686 0.2686 0.5371
0.7314 0.7314 0.4629

---

MgAsW2, PBEsol geometry, DFT meta-GGA SCAN; ΔE to the lowest computed polymorph = 0.0 meV per atom; total DFT energy (no corrections) = -40.939 eV per atom; energy of formation from the pure elements = 0.1966 eV per atom; space group = P4mm (99); magnetization = 0.0 μB per formula unit
1.0
3.2214 0.0000 0.0000
0.0000 3.2214 0.0000
0.0000 0.0000 6.3145
W Mg As
2 1 1
Direct
0.0000 0.0000 0.0247
0.5000 0.5000 0.2516
0.5000 0.5000 0.7502
0.0000 0.0000 0.4736

---

MgAsW2, PBEsol geometry, DFT meta-GGA SCAN; ΔE to the lowest computed polymorph = 474.9 meV per atom; total DFT energy (no corrections) = -40.464 eV per atom; energy of formation from the pure elements = 0.6714 eV per atom; space group = Pmmm (47); magnetization = 0.0 μB per formula unit
1.0
2.7410 0.0000 0.0000
0.0000 4.4232 0.0000
0.0000 0.0000 5.3659
W Mg As
2 1 1
Direct
0.0000 0.0000 0.2527
0.0000 0.0000 0.7473
0.5000 0.5000 0.5000
0.5000 0.5000 0.0000

---

MgAsW2, PBEsol geometry, DFT meta-GGA SCAN; ΔE to the lowest computed polymorph = 255.0 meV per atom; total DFT energy (no corrections) = -40.684 eV per atom; energy of formation from the pure elements = 0.4515 eV per atom; space group = P2/m (10); magnetization = 0.0 μB per formula unit
1.0
2.7851 0.0000 0.0012
0.0000 4.5472 0.0000
-0.3144 0.0000 5.1149
W As Mg
2 1 1
Direct
0.6483 0.0000 0.7442
0.3517 0.0000 0.2558
0.5000 0.5000 0.0000
0.0000 0.5000 0.5000

---

Mg2AsW, PBEsol geometry, DFT meta-GGA SCAN; total DFT energy (no corrections) = -24.680 eV per atom; energy of formation from the pure elements = 0.2764 eV per atom; space group = Cm (8); magnetization = 0.0 μB per formula unit
1.0
-0.8388 -1.2604 2.3987
4.6091 1.6653 0.8097
-2.3556 4.3331 1.4531
Mg As W
2 1 1
Direct
0.0014 0.0028 0.0151
0.7580 0.5160 0.2552
0.2395 0.4791 0.7096
0.5011 0.0021 0.5200